[1]
Compound: ZrAgRu2
Source: the Alexandria database
Functional: meta-GGA SCAN
Structure: PBEsol geometry

Results
As for the total energy: -32.9336 eV/atom. Its calculated formation energy is -0.004 eV/atom. Its space group is Pmm2 (25). Its density of states at the Fermi level is 2.60 states/eV/f.u. The total magnetization comes out at 0.0 μB/cell.

Structure (POSCAR):
```
ZrAgRu2
1.0
2.896 0.000 0.000
0.000 3.836 0.000
0.000 0.000 5.715
Ag Ru Zr
1 2 1
Direct
0.000 0.500 0.761
0.500 0.000 0.031
0.000 0.500 0.226
0.500 0.000 0.483
```

---

[2]
Compound: DyUTe6
Source: the Alexandria database
Functional: meta-GGA SCAN
Structure: PBEsol geometry

Results
As for the total energy: -47.6037 eV/atom. Its energy relative to the elements, uncorrected is -0.750 eV per atom. Its space group is Amm2 (38). Its density of states at the Fermi level is 10.53 states/eV/f.u. The total magnetization comes out at 2.4 μB/cell.

Structure (POSCAR):
```
DyUTe6
1.0
4.300 0.000 0.000
0.000 4.311 0.000
-2.150 0.000 12.471
Te U Dy
6 1 1
Direct
0.574 0.500 0.148
0.427 0.000 0.854
0.294 0.500 0.588
0.704 0.000 0.408
0.927 0.500 0.855
0.074 0.000 0.148
0.167 0.500 0.335
0.832 0.000 0.664
```

---

[3]
Compound: LaTaAs2
Source: the Alexandria database
Functional: meta-GGA SCAN
Structure: PBEsol geometry

Results
As for the total energy: -37.8894 eV/atom. Its calculated formation energy is -0.372 eV/atom. Its space group is I-42d (122). Its density of states at the Fermi level is 3.71 states/eV/f.u. The total magnetization comes out at 0.0 μB/cell.

Structure (POSCAR):
```
LaTaAs2
1.0
6.184 0.000 0.000
0.000 6.184 0.000
-3.092 -3.092 6.181
As La Ta
4 2 2
Direct
0.311 0.875 0.250
0.939 0.375 0.250
0.125 0.061 0.750
0.625 0.689 0.750
0.750 0.250 0.500
0.500 0.500 0.000
0.250 0.750 0.500
0.000 0.000 0.000
```